Material: CaTcSn3
Method: DFT, GGA-PBE
State: relaxed

Calculated values
ΔE to the lowest computed polymorph = 0 meV per atom
Calculated total energy = -4.824 eV/atom
Formation energy = 51.7 meV per atom
M_tot = 1.46 μB per cell

Cell lengths 5.222, 5.222, 5.222 Å; angles 90.00, 90.00, 90.00 degrees
Each line ends with the local moment (μB).
Positions (direct):
1 Ca 0.500 0.500 0.500  0.06
2 Sn 0.000 0.500 0.000  0.02
3 Sn 0.000 0.000 0.500  0.05
4 Sn 0.500 0.000 0.000  0.00
5 Tc 0.000 0.000 0.000  0.84